Entry 1:
Density functional theory data (PBE) for a geometry-optimized TlCO2 structure.

The energy above the most stable polymorph in this dataset is 70.3 kJ/mol of atoms. The value obtained for the theoretical density is 5.96 g/cm3. The electronic total energy is -0.20973 hartree per atom. As for the crystal system: orthorhombic. The value obtained for the density of states at the Fermi level is 0.1676 states/eV/atom. The calculation puts the size of the total moment at 0.0000 μB/atom. Its volume is 276.6 Å³ per cell. As for the raw formation energy: -32 kJ per mole of atoms.

The space group is Pnma (No. 62) and the conventional cell measures 6.550, 2.918 and 14.473 Å, with angles of 90.00, 90.00 and 90.00 degrees. Symmetry generates all atoms from Tl at (0.230, 0.250, 0.077), C at (0.183, 0.750, 0.344), O at (0.127, 0.250, 0.390) and O at (0.229, 0.250, 0.772).


Entry 2:
Density functional theory data (PBE) for a geometry-optimized Tl3C2O8 structure.

The value obtained for the theoretical density is 8.77 g/cm3. The electronic total energy is -0.20836 hartree per atom. As for the crystal system: trigonal. The value obtained for the density of states at the Fermi level is 0.0983 states/eV/atom. The calculation puts the size of the total moment at 0.0000 μB/atom. Its volume is 434.4 Å³ per cell. As for the raw formation energy: -63 kJ per mole of atoms.

The space group is R-3m (No. 166, hexagonal axes) and the conventional cell measures 5.0571, 5.0571 and 19.6132 Å, with angles of 90.00, 90.00 and 120.00 degrees. Symmetry generates all atoms from Tl at (0.0000, 0.0000, 0.0000), Tl at (0.0000, 0.0000, 0.2146), C at (0.0000, 0.0000, 0.4010), O at (0.0000, 0.0000, 0.3331) and O at (0.0259, 0.5130, 0.2397).


Entry 3:
Density functional theory data (PBE) for a geometry-optimized Tl2CO3 structure.

The value obtained for the theoretical density is 5.81 g/cm3. The electronic total energy is -0.21698 hartree per atom. As for the crystal system: orthorhombic. The value obtained for the density of states at the Fermi level is 0.0000 states/eV/atom. The calculation puts the size of the total moment at 0.0000 μB/atom. Its volume is 1071.8 Å³ per cell. As for the raw formation energy: -106 kJ per mole of atoms.

The space group is Fmmm (No. 69) and the conventional cell measures 7.473, 9.527 and 15.055 Å, with angles of 90.00, 90.00 and 90.00 degrees. Symmetry generates all atoms from Tl at (0.233, 0.000, 0.000), Tl at (0.250, 0.250, 0.250), C at (0.000, 0.000, 0.164), O at (0.000, 0.000, 0.249) and O at (0.000, 0.118, 0.118).


Entry 4:
Density functional theory data (PBE) for a geometry-optimized TlCO2 structure.

The energy above the most stable polymorph in this dataset is 71.7 kJ/mol of atoms. The value obtained for the theoretical density is 4.45 g/cm3. The electronic total energy is -0.20923 hartree per atom. As for the crystal system: monoclinic. The value obtained for the density of states at the Fermi level is 0.1713 states/eV/atom. The calculation puts the size of the total moment at 0.0000 μB/atom. Its volume is 185.5 Å³ per cell. As for the raw formation energy: -31 kJ per mole of atoms.

The space group is P2_1/m (No. 11) and the conventional cell measures 5.287, 3.676 and 9.577 Å, with angles of 90.00, 94.92 and 90.00 degrees. Symmetry generates all atoms from Tl at (0.240, 0.250, 0.036), C at (0.376, 0.750, 0.621), O at (0.162, 0.750, 0.633) and O at (0.444, 0.750, 0.116).